No. 1
DFT (GGA-PBE) results for crystalline CdGaPt2 at its relaxed geometry.

The value obtained for the density of states at the Fermi level is 0.22 states/eV per atom. The value obtained for the calculated total energy is -4.402 eV/atom.

It has space group P4/mmm (No. 123), with a = 4.145 Å, b = 4.145 Å, c = 3.819 Å, α = 90.00°, β = 90.00° and γ = 90.00°. The asymmetric unit holds Cd at (0.000, 0.000, 0.000), Ga at (0.500, 0.500, 0.000) and Pt at (0.000, 0.500, 0.500).

---

No. 2
DFT (GGA-PBE) results for crystalline YCuGe at its relaxed geometry.

The value obtained for the density of states at the Fermi level is 0.55 states/eV per atom. The value obtained for the calculated total energy is -5.435 eV/atom.

It has space group P-3m1 (No. 164), with a = 4.3184 Å, b = 4.3184 Å, c = 7.5154 Å, α = 90.00°, β = 90.00° and γ = 120.00°. The asymmetric unit holds Y at (0.0000, 0.0000, 0.2380), Cu at (0.3333, 0.6667, 0.0036) and Ge at (0.3333, 0.6667, 0.4748).

---

No. 3
DFT (GGA-PBE) results for crystalline LaTa2Ag at its relaxed geometry.

The value obtained for the density of states at the Fermi level is 1.13 states/eV per atom. The calculation puts the distance to the lowest polymorph of the same formula at 0.335 eV per atom. The value obtained for the calculated total energy is -7.278 eV/atom.

It has space group I4/mmm (No. 139), with a = 4.237 Å, b = 4.237 Å, c = 9.713 Å, α = 90.00°, β = 90.00° and γ = 90.00°. The asymmetric unit holds La at (0.000, 0.000, 0.000), Ta at (0.000, 0.500, 0.250) and Ag at (0.000, 0.000, 0.500).

---

No. 4
DFT (GGA-PBE) results for crystalline Nd6Tl2As at its relaxed geometry.

The value obtained for the density of states at the Fermi level is 1.39 states/eV per atom. The value obtained for the calculated total energy is -4.707 eV/atom.

It has space group Amm2 (No. 38), with a = 4.088 Å, b = 15.289 Å, c = 8.817 Å, α = 90.00°, β = 90.00° and γ = 90.00°. The asymmetric unit holds Nd at (0.000, 0.000, 0.000), Nd at (0.000, 0.129, 0.611), Nd at (0.500, 0.000, 0.346), Nd at (0.500, 0.197, 0.937), Tl at (0.000, 0.167, 0.240) and As at (0.500, 0.000, 0.741).

---

No. 5
DFT (GGA-PBE) results for crystalline SmGe3Os2 at its relaxed geometry.

The value obtained for the density of states at the Fermi level is 0.38 states/eV per atom. The value obtained for the calculated total energy is -6.999 eV/atom.

It has space group Cmcm (No. 63), with a = 9.458 Å, b = 7.882 Å, c = 5.799 Å, α = 90.00°, β = 90.00° and γ = 90.00°. The asymmetric unit holds Sm at (0.000, 0.143, 0.250), Ge at (0.000, 0.490, 0.750), Ge at (0.163, 0.216, 0.750) and Os at (0.214, 0.500, 0.000).

---

No. 6
DFT (GGA-PBE) results for crystalline CsNpS2 at its relaxed geometry.

The value obtained for the density of states at the Fermi level is 2.61 states/eV per atom. For the uncorrected formation energy, the calculation gives -1335 meV per atom. The value obtained for the calculated total energy is -6.847 eV/atom.

It has space group R3m (No. 160, hexagonal axes), with a = 4.1275 Å, b = 4.1275 Å, c = 24.3989 Å, α = 90.00°, β = 90.00° and γ = 120.00°. The asymmetric unit holds Cs at (0.0000, 0.0000, 0.0000), Np at (0.0000, 0.0000, 0.8307), S at (0.0000, 0.0000, 0.2238) and S at (0.0000, 0.0000, 0.4374).

---

No. 7
DFT (GGA-PBE) results for crystalline NiGeAu2 at its relaxed geometry.

The value obtained for the density of states at the Fermi level is 0.54 states/eV per atom. The value obtained for the calculated total energy is -4.061 eV/atom.

It has space group I-42d (No. 122), with a = 7.230 Å, b = 7.230 Å, c = 5.298 Å, α = 90.00°, β = 90.00° and γ = 90.00°. The asymmetric unit holds Ni at (0.000, 0.000, 0.000), Ge at (0.000, 0.000, 0.500) and Au at (0.248, 0.250, 0.125).

---

No. 8
DFT (GGA-PBE) results for crystalline CuTeIr2 at its relaxed geometry.

The value obtained for the density of states at the Fermi level is 1.03 states/eV per atom. For the uncorrected formation energy, the calculation gives 872 meV per atom. The value obtained for the calculated total energy is -5.367 eV/atom.

It has space group I-42d (No. 122), with a = 5.720 Å, b = 5.720 Å, c = 11.156 Å, α = 90.00°, β = 90.00° and γ = 90.00°. The asymmetric unit holds Cu at (0.000, 0.000, 0.000), Te at (0.000, 0.000, 0.500) and Ir at (0.234, 0.250, 0.125).

---

No. 9
DFT (GGA-PBE) results for crystalline Ce12InSn4N3 at its relaxed geometry.

The value obtained for the density of states at the Fermi level is 2.33 states/eV per atom. For the uncorrected formation energy, the calculation gives -617 meV per atom. The value obtained for the calculated total energy is -6.363 eV/atom.

It has space group Im-3m (No. 229), with a = 10.207 Å, b = 10.207 Å, c = 10.207 Å, α = 90.00°, β = 90.00° and γ = 90.00°. The asymmetric unit holds Ce at (0.000, 0.000, 0.280), Ce at (0.000, 0.250, 0.500), In at (0.000, 0.000, 0.000), Sn at (0.250, 0.250, 0.250) and N at (0.000, 0.000, 0.500).

---

No. 10
DFT (GGA-PBE) results for crystalline RbOsI2 at its relaxed geometry.

The value obtained for the density of states at the Fermi level is 1.78 states/eV per atom. The calculation puts the distance to the lowest polymorph of the same formula at 0.628 eV per atom. For the uncorrected formation energy, the calculation gives 840 meV per atom. The value obtained for the calculated total energy is -2.985 eV/atom.

It has space group Fm-3m (No. 225), with a = 7.898 Å, b = 7.898 Å, c = 7.898 Å, α = 90.00°, β = 90.00° and γ = 90.00°. The asymmetric unit holds Rb at (0.000, 0.000, 0.000), Os at (0.000, 0.000, 0.500) and I at (0.250, 0.250, 0.250).

---

No. 11
DFT (GGA-PBE) results for crystalline LiHoLuMo at its relaxed geometry.

The value obtained for the density of states at the Fermi level is 1.51 states/eV per atom. The value obtained for the calculated total energy is -5.218 eV/atom.

It has space group F-43m (No. 216), with a = 7.020 Å, b = 7.020 Å, c = 7.020 Å, α = 90.00°, β = 90.00° and γ = 90.00°. The asymmetric unit holds Li at (0.000, 0.000, 0.000), Ho at (0.250, 0.250, 0.250), Lu at (0.250, 0.250, 0.750) and Mo at (0.000, 0.000, 0.500).

---

No. 12
DFT (GGA-PBE) results for crystalline CaLa2AgC at its relaxed geometry.

The value obtained for the density of states at the Fermi level is 1.23 states/eV per atom. The value obtained for the calculated total energy is -4.817 eV/atom.

It has space group P4/mmm (No. 123), with a = 5.183 Å, b = 5.183 Å, c = 5.089 Å, α = 90.00°, β = 90.00° and γ = 90.00°. The asymmetric unit holds Ca at (0.000, 0.000, 0.000), La at (0.000, 0.500, 0.500), Ag at (0.500, 0.500, 0.000) and C at (0.000, 0.000, 0.500).